Record 1
VCo3P after structural relaxation. Source: the Alexandria database, functional PBE.

Unit cell a=4.086 b=4.086 c=4.086 alpha=90.00 beta=90.00 gamma=90.00
Sites, in units of the cell vectors:
V (0.000, 0.000, 0.000)
Co (0.000, 0.500, 0.500)
Co (0.500, 0.000, 0.500)
Co (0.500, 0.500, 0.000)
P (0.500, 0.500, 0.500)

Energy relative to the lowest polymorph listed for this composition, kcal/mol of atoms: 0.00
Size of the total moment, μB/f.u.: 4.83



Record 2
V4CoP after structural relaxation. Source: the Alexandria database, functional PBE.

Unit cell a=3.748 b=3.748 c=6.486 alpha=101.69 beta=101.69 gamma=67.99
Sites, in units of the cell vectors:
V (0.131, 0.131, 0.373)
V (0.310, 0.310, 0.843)
V (0.690, 0.690, 0.157)
V (0.869, 0.869, 0.627)
Co (0.500, 0.500, 0.500)
P (0.000, 0.000, 0.000)

Size of the total moment, μB/f.u.: 0.00



Record 3
V4Co2P after structural relaxation. Source: the Alexandria database, functional PBE.

Unit cell a=6.536 b=6.536 c=6.536 alpha=142.20 beta=142.20 gamma=54.53
Sites, in units of the cell vectors:
V (0.000, 0.500, 0.500)
V (0.197, 0.197, 0.000)
V (0.500, 0.000, 0.500)
V (0.803, 0.803, 0.000)
Co (0.378, 0.378, 0.000)
Co (0.622, 0.622, 0.000)
P (0.000, 0.000, 0.000)

Size of the total moment, μB/f.u.: 0.01



Record 4
VCo3P after structural relaxation. Source: the Alexandria database, functional PBE.

Unit cell a=4.205 b=4.205 c=4.205 alpha=90.00 beta=90.00 gamma=90.00
Sites, in units of the cell vectors:
V (0.000, 0.000, 0.000)
Co (0.000, 0.000, 0.500)
Co (0.000, 0.500, 0.000)
Co (0.500, 0.000, 0.000)
P (0.500, 0.500, 0.500)

Energy relative to the lowest polymorph listed for this composition, kcal/mol of atoms: 21.60
Size of the total moment, μB/f.u.: 1.14



Result set for E_form: 0.319, -0.026, 0.435, 1.256 eV per atom, one per record in the order listed.